## BeAg (PBE)

Data for an optimized crystal structure of BeAg.

Output
Total magnetic moment: 0.00 μB/f.u.
Fermi-level density of states: 0.263 states/eV/atom
Energy: -3.0640 eV/atom

Cell and atoms, written as POSCAR:
```
BeAg
1.0
2.4286 -4.2065 0.0000
2.4286 4.2065 0.0000
0.0000 0.0000 4.1923
Be Ag
3 3
direct
0.0000 0.5000 0.0000
0.5000 0.5000 0.0000
0.5000 0.0000 0.0000
0.6667 0.3333 0.5000
0.3333 0.6667 0.5000
0.0000 0.0000 0.0000
```